Entry 1:
## TlPtW4 (PBE)

Data for a relaxed TlPtW4 crystal.

Results
Its density of states at the Fermi level is 1.090 states/eV per atom. The uncorrected energy is -55.899 eV/cell. The symmetry is F-43m (216). Its formation enthalpy at 0 K is 0.72 eV/atom. Its calculated volume is 18.0 Å³/atom.

Cell: 5.342 5.342 5.342 Å, 60.00 60.00 60.00°
Atoms (fractional coordinates):
Tl 0.000 0.000 0.000
Pt 0.250 0.250 0.250
W 0.124 0.625 0.625
W 0.625 0.124 0.625
W 0.625 0.625 0.124
W 0.625 0.625 0.625



Entry 2:
## TlPt4W (PBE)

Data for a relaxed TlPt4W crystal.

Results
Its density of states at the Fermi level is 1.181 states/eV per atom. The uncorrected energy is -37.141 eV/cell. The symmetry is F-43m (216). Its formation enthalpy at 0 K is 0.39 eV/atom. Its calculated volume is 17.6 Å³/atom.

Cell: 5.307 5.307 5.307 Å, 60.00 60.00 60.00°
Atoms (fractional coordinates):
Tl 0.000 0.000 0.000
Pt 0.376 0.376 0.376
Pt 0.376 0.376 0.873
Pt 0.376 0.873 0.376
Pt 0.873 0.376 0.376
W 0.750 0.750 0.750



Entry 3:
## Tl4PtW (PBE)

Data for a relaxed Tl4PtW crystal.

Results
Its density of states at the Fermi level is 0.652 states/eV per atom. The uncorrected energy is -20.571 eV/cell. The symmetry is F-43m (216). Its formation enthalpy at 0 K is 1.31 eV/atom. Its calculated volume is 26.4 Å³/atom.

Cell: 6.073 6.073 6.073 Å, 60.00 60.00 60.00°
Atoms (fractional coordinates):
Tl 0.125 0.125 0.125
Tl 0.125 0.125 0.624
Tl 0.125 0.624 0.125
Tl 0.624 0.125 0.125
Pt 0.500 0.500 0.500
W 0.750 0.750 0.750



Entry 4:
## TlPtW3 (PBE)

Data for a relaxed TlPtW3 crystal.

Results
Its density of states at the Fermi level is 1.299 states/eV per atom. The uncorrected energy is -36.921 eV/cell. The symmetry is Pm-3m (221). The energy above the most stable polymorph in this dataset comes out at 0 meV/atom. Its formation enthalpy at 0 K is 2.07 eV/atom. Its calculated volume is 22.6 Å³/atom.

Cell: 4.833 4.833 4.833 Å, 90.00 90.00 90.00°
Atoms (fractional coordinates):
Tl 0.000 0.000 0.000
Pt 0.500 0.500 0.500
W 0.000 0.500 0.500
W 0.500 0.000 0.500
W 0.500 0.500 0.000